1.
DFT (PBE) results for a relaxed structure of GdYZnNi2.

Cell and atoms, written as POSCAR:
```
GdYZnNi2
1.0
-2.130 2.703 4.065
2.130 -2.703 4.065
2.130 2.703 -4.065
Zn Ni Gd Y
1 2 1 1
Direct
0.000 0.000 0.000 Zn
0.271 0.500 0.771 Ni
0.730 0.500 0.229 Ni
0.296 0.796 0.500 Gd
0.703 0.203 0.500 Y
```

## Properties
- Space group: Imm2 (44)
- V: 18.72 Å³ per atom
- Formation enthalpy at 0 K: -2.3 eV/f.u.

---

2.
DFT (PBE) results for a relaxed structure of PmCdPO.

Cell and atoms, written as POSCAR:
```
PmCdPO
1.0
-3.183 0.058 2.600
2.553 -0.713 3.142
1.083 8.854 1.128
O Pm Cd P
2 2 2 2
Direct
0.000 0.000 0.000 O
0.500 0.500 0.000 O
0.000 0.500 0.124 Pm
0.500 0.000 0.876 Pm
0.000 0.000 0.500 Cd
0.500 0.500 0.500 Cd
0.000 0.500 0.694 P
0.500 0.000 0.306 P
```

## Properties
- Space group: P4/nmm (129)
- V: 18.99 Å³ per atom
- Energy relative to the lowest polymorph listed for this composition: 0 meV/atom

---

3.
DFT (PBE) results for a relaxed structure of LaSi2IrOs.

Cell and atoms, written as POSCAR:
```
LaSi2IrOs
1.0
-2.100 2.100 5.064
2.100 -2.100 5.064
2.100 2.100 -5.064
Si Os La Ir
2 1 1 1
Direct
0.131 0.131 0.000 Si
0.869 0.869 0.000 Si
0.750 0.250 0.500 Os
0.500 0.500 0.000 La
0.250 0.750 0.500 Ir
```

## Properties
- Space group: I-4m2 (119)
- V: 17.87 Å³ per atom
- Uncorrected energy: -40.35 eV for the cell shown

---

4.
DFT (PBE) results for a relaxed structure of Fe2Sb3P.

Cell and atoms, written as POSCAR:
```
Fe2Sb3P
1.0
5.628 0.000 0.000
0.000 3.079 0.000
-0.205 0.000 6.312
P Sb Fe
1 3 2
Direct
0.196 0.000 0.352 P
0.309 0.500 0.852 Sb
0.692 0.500 0.150 Sb
0.824 0.000 0.634 Sb
0.014 0.000 0.026 Fe
0.465 0.500 0.486 Fe
```

## Properties
- Space group: Pm (6)
- V: 18.23 Å³ per atom
- Uncorrected energy: -34.76 eV for the cell shown